Compound: NaPuNiO6
Source: the Alexandria database
Functional: PBE with a Hubbard U
Structure: optimized geometry Values from VASP.

```
&SYSTEM
  ibrav = 0, nat = 18, ntyp = 4
/
ATOMIC_SPECIES
O 16.00 O.upf
Na 22.99 Na.upf
Ni 58.69 Ni.upf
Pu 244.00 Pu.upf
ATOMIC_POSITIONS angstrom
O 1.4795 1.4795 3.3816
O 1.0415 3.8803 4.5213
O 4.0669 0.8549 1.5622
O 0.8549 4.0669 1.5622
O 0.9814 3.9404 8.1057
O 3.4424 3.4424 3.3816
O 3.3158 3.3158 6.2863
O 1.4194 1.4194 9.2455
O 3.8803 1.0415 4.5213
O 3.9404 0.9814 8.1057
O 3.5024 3.5024 9.2455
O 1.6060 1.6060 6.2863
Na 0.0000 0.0000 6.2446
Na 2.4609 2.4609 1.5205
Ni 2.4609 2.4609 7.8911
Ni 0.0000 0.0000 3.1670
Pu 2.4609 2.4609 4.7272
Pu 0.0000 0.0000 0.0031
CELL_PARAMETERS angstrom
4.9218 0.0000 0.0000
0.0000 4.9218 0.0000
0.0000 0.0000 9.4483
```

Calculated values
Crystal system: tetragonal
Total magnetization, μB/cell: 2.0
Calculated volume, Å³/atom: 12.7
DOS at the Fermi energy, states/eV/cell: 6.209
Calculated total energy, eV per cell: -122.818